A relaxed structure of Tm2PuPd9, computed with PBE.

```
data_Tm2PuPd9
_chemical_formula_sum 'Tm2 Pu1 Pd9'
_cell_length_a 4.108
_cell_length_b 4.108
_cell_length_c 12.334
_cell_angle_alpha 90.00
_cell_angle_beta 90.00
_cell_angle_gamma 90.00
_space_group_name_H-M_alt 'P 4/m m m'
_space_group_IT_number 123
_space_group_name_Hall '-P 4 2'
loop_
_atom_site_label
_atom_site_type_symbol
_atom_site_fract_x
_atom_site_fract_y
_atom_site_fract_z
_atom_site_occupancy
Tm1 Tm 0.000 0.000 0.164 1
Pu1 Pu 0.000 0.000 0.500 1
Pd1 Pd 0.000 0.500 0.000 1
Pd2 Pd 0.000 0.500 0.333 1
Pd3 Pd 0.500 0.500 0.166 1
Pd4 Pd 0.500 0.500 0.500 1
```

* size of the total moment: 4.1 μB per formula unit
* DFT formation energy: -0.7972 eV per atom
* V: 208.2 Å³/f.u.
* DOS at the Fermi energy: 19.73 states/eV per cell

---

A relaxed structure of NbAgPd14, computed with PBE.

```
data_NbAgPd14
_chemical_formula_sum 'Nb1 Ag1 Pd14'
_cell_length_a 5.668
_cell_length_b 5.668
_cell_length_c 7.787
_cell_angle_alpha 90.00
_cell_angle_beta 90.00
_cell_angle_gamma 90.00
_space_group_name_H-M_alt 'P 4/m m m'
_space_group_IT_number 123
_space_group_name_Hall '-P 4 2'
loop_
_atom_site_label
_atom_site_type_symbol
_atom_site_fract_x
_atom_site_fract_y
_atom_site_fract_z
_atom_site_occupancy
Nb1 Nb 0.000 0.000 0.000 1
Ag1 Ag 0.500 0.500 0.000 1
Pd1 Pd 0.000 0.000 0.500 1
Pd2 Pd 0.000 0.500 0.000 1
Pd3 Pd 0.000 0.500 0.500 1
Pd4 Pd 0.245 0.245 0.247 1
Pd5 Pd 0.500 0.500 0.500 1
```

* size of the total moment: 0.0 μB per formula unit
* DFT formation energy: -0.1277 eV per atom
* V: 250.2 Å³/f.u.
* DOS at the Fermi energy: 24.47 states/eV per cell

---

A relaxed structure of Na2Tl12Hg5, computed with PBE.

```
data_Na2Tl12Hg5
_chemical_formula_sum 'Na4 Tl24 Hg10'
_cell_length_a 14.449
_cell_length_b 10.329
_cell_length_c 7.714
_cell_angle_alpha 90.00
_cell_angle_beta 95.71
_cell_angle_gamma 90.00
_space_group_name_H-M_alt 'C 1 2/m 1'
_space_group_IT_number 12
loop_
_space_group_symop_operation_xyz
'x,y,z'
'-x,-y,-z'
'-x,y,-z'
'x,-y,z'
'x+1/2,y+1/2,z'
'-x+1/2,-y+1/2,-z'
'-x+1/2,y+1/2,-z'
'x+1/2,-y+1/2,z'
loop_
_atom_site_label
_atom_site_type_symbol
_atom_site_fract_x
_atom_site_fract_y
_atom_site_fract_z
_atom_site_occupancy
Na1 Na 0.000 0.235 0.000 1
Tl1 Tl 0.041 0.000 0.710 1
Tl2 Tl 0.106 0.247 0.410 1
Tl3 Tl 0.117 0.500 0.894 1
Tl4 Tl 0.214 0.206 0.807 1
Hg1 Hg 0.000 0.500 0.500 1
Hg2 Hg 0.155 0.000 0.112 1
Hg3 Hg 0.239 0.500 0.512 1
```

* size of the total moment: 0.0 μB per formula unit
* DFT formation energy: -0.0055 eV per atom
* distance to the lowest polymorph of the same formula: 0.015 eV per atom
* V: 572.8 Å³/f.u.
* DOS at the Fermi energy: 17.61 states/eV per cell

---

A relaxed structure of CeZr2NbN4, computed with PBE.

```
data_CeZr2NbN4
_chemical_formula_sum 'Ce4 Zr8 Nb4 N16'
_cell_length_a 3.297
_cell_length_b 11.632
_cell_length_c 11.499
_cell_angle_alpha 90.00
_cell_angle_beta 90.00
_cell_angle_gamma 90.00
_space_group_name_H-M_alt 'C m c m'
_space_group_IT_number 63
_space_group_name_Hall '-C 2c 2'
loop_
_atom_site_label
_atom_site_type_symbol
_atom_site_fract_x
_atom_site_fract_y
_atom_site_fract_z
_atom_site_occupancy
Ce1 Ce 0.000 0.120 0.250 1
Zr1 Zr 0.000 0.369 0.035 1
Nb1 Nb 0.000 0.144 0.750 1
N1 N 0.000 0.000 0.000 1
N2 N 0.000 0.260 0.615 1
N3 N 0.000 0.469 0.250 1
```

* electronic total energy: -9.57 eV per atom
* size of the total moment: 0.2 μB per formula unit
* V: 110.3 Å³/f.u.
* DOS at the Fermi energy: 21.01 states/eV per cell

---

A relaxed structure of TbPmP2Rh2, computed with PBE.

```
data_TbPmP2Rh2
_chemical_formula_sum 'Tb1 Pm1 P2 Rh2'
_cell_length_a 4.0633
_cell_length_b 4.0633
_cell_length_c 8.0753
_cell_angle_alpha 90.00
_cell_angle_beta 90.00
_cell_angle_gamma 120.00
_space_group_name_H-M_alt 'P -3 m 1'
_space_group_IT_number 164
_space_group_name_Hall '-P 3 2"'
loop_
_atom_site_label
_atom_site_type_symbol
_atom_site_fract_x
_atom_site_fract_y
_atom_site_fract_z
_atom_site_occupancy
Tb1 Tb 0.0000 0.0000 0.0000 1
Pm1 Pm 0.0000 0.0000 0.5000 1
P1 P 0.3333 0.6667 0.7552 1
Rh1 Rh 0.3333 0.6667 0.2448 1
```

* size of the total moment: 0.0 μB per formula unit
* DFT formation energy: -1.2289 eV per atom
* V: 115.5 Å³/f.u.
* DOS at the Fermi energy: 3.60 states/eV per cell

---

A relaxed structure of Ce3BiPb2, computed with PBE.

```
data_Ce3BiPb2
_chemical_formula_sum 'Ce6 Bi2 Pb4'
_cell_length_a 4.560
_cell_length_b 6.455
_cell_length_c 13.719
_cell_angle_alpha 90.00
_cell_angle_beta 90.00
_cell_angle_gamma 90.00
_space_group_name_H-M_alt 'I m m m'
_space_group_IT_number 71
_space_group_name_Hall '-I 2 2'
loop_
_atom_site_label
_atom_site_type_symbol
_atom_site_fract_x
_atom_site_fract_y
_atom_site_fract_z
_atom_site_occupancy
Ce1 Ce 0.000 0.000 0.000 1
Ce2 Ce 0.000 0.000 0.332 1
Bi1 Bi 0.000 0.500 0.000 1
Pb1 Pb 0.000 0.500 0.335 1
```

* size of the total moment: 1.3 μB per formula unit
* DFT formation energy: -0.4610 eV per atom
* V: 201.9 Å³/f.u.
* DOS at the Fermi energy: 25.66 states/eV per cell

---

A relaxed structure of PrCd2Au3, computed with PBE.

```
data_PrCd2Au3
_chemical_formula_sum 'Pr2 Cd4 Au6'
_cell_length_a 4.8377
_cell_length_b 4.8377
_cell_length_c 13.1741
_cell_angle_alpha 90.00
_cell_angle_beta 90.00
_cell_angle_gamma 120.00
_space_group_name_H-M_alt 'P 63/m m c'
_space_group_IT_number 194
_space_group_name_Hall '-P 6c 2c'
loop_
_atom_site_label
_atom_site_type_symbol
_atom_site_fract_x
_atom_site_fract_y
_atom_site_fract_z
_atom_site_occupancy
Pr1 Pr 0.0000 0.0000 0.2500 1
Cd1 Cd 0.3333 0.6667 0.0812 1
Au1 Au 0.0000 0.0000 0.0000 1
Au2 Au 0.3333 0.6667 0.6393 1
```

* size of the total moment: 0.0 μB per formula unit
* DFT formation energy: -0.4831 eV per atom
* V: 133.5 Å³/f.u.
* DOS at the Fermi energy: 6.56 states/eV per cell

---

A relaxed structure of UGeN, computed with PBE.

```
data_UGeN
_chemical_formula_sum 'U4 Ge4 N4'
_cell_length_a 3.854
_cell_length_b 13.345
_cell_length_c 3.899
_cell_angle_alpha 90.00
_cell_angle_beta 90.00
_cell_angle_gamma 90.00
_space_group_name_H-M_alt 'C m c m'
_space_group_IT_number 63
_space_group_name_Hall '-C 2c 2'
loop_
_atom_site_label
_atom_site_type_symbol
_atom_site_fract_x
_atom_site_fract_y
_atom_site_fract_z
_atom_site_occupancy
U1 U 0.000 0.163 0.250 1
Ge1 Ge 0.000 0.444 0.250 1
N1 N 0.000 0.252 0.750 1
```

* size of the total moment: 1.2 μB per formula unit
* distance to the lowest polymorph of the same formula: 0.000 eV per atom
* V: 50.1 Å³/f.u.
* DOS at the Fermi energy: 14.71 states/eV per cell

---

A relaxed structure of AcDy2UO8, computed with PBE.

```
data_AcDy2UO8
_chemical_formula_sum 'Ac1 Dy2 U1 O8'
_cell_length_a 3.953
_cell_length_b 5.386
_cell_length_c 7.820
_cell_angle_alpha 90.00
_cell_angle_beta 90.00
_cell_angle_gamma 90.00
_space_group_name_H-M_alt 'P m m m'
_space_group_IT_number 47
loop_
_space_group_symop_operation_xyz
'x,y,z'
'-x,-y,-z'
'-x,-y,z'
'x,y,-z'
'x,-y,-z'
'-x,y,z'
'-x,y,-z'
'x,-y,z'
loop_
_atom_site_label
_atom_site_type_symbol
_atom_site_fract_x
_atom_site_fract_y
_atom_site_fract_z
_atom_site_occupancy
Ac1 Ac 0.000 0.000 0.000 1
Dy1 Dy 0.500 0.500 0.270 1
U1 U 0.000 0.000 0.500 1
O1 O 0.000 0.245 0.284 1
O2 O 0.500 0.232 0.500 1
O3 O 0.500 0.288 0.000 1
```

* electronic total energy: -8.61 eV per atom
* size of the total moment: 1.0 μB per formula unit
* V: 166.5 Å³/f.u.
* DOS at the Fermi energy: 1.93 states/eV per cell

---

A relaxed structure of IrOsCl2, computed with PBE.

```
data_IrOsCl2
_chemical_formula_sum 'Ir4 Os4 Cl8'
_cell_length_a 6.243
_cell_length_b 6.243
_cell_length_c 6.243
_cell_angle_alpha 90.00
_cell_angle_beta 90.00
_cell_angle_gamma 90.00
_space_group_name_H-M_alt 'F m -3 m'
_space_group_IT_number 225
_space_group_name_Hall '-F 4 2 3'
loop_
_atom_site_label
_atom_site_type_symbol
_atom_site_fract_x
_atom_site_fract_y
_atom_site_fract_z
_atom_site_occupancy
Ir1 Ir 0.000 0.000 0.000 1
Os1 Os 0.000 0.000 0.500 1
Cl1 Cl 0.250 0.250 0.250 1
```

* size of the total moment: 0.0 μB per formula unit
* distance to the lowest polymorph of the same formula: 1.494 eV per atom
* V: 60.8 Å³/f.u.
* DOS at the Fermi energy: 24.45 states/eV per cell